# Tm3ScBi4

A relaxed structure of Tm3ScBi4 (PBE, Alexandria via LeMat-Bulk).

## Properties
Space-group type: No. 221

Lattice parameters (Å, degrees): 6.215 6.215 6.215 90.00 90.00 90.00
Positions (direct):
Tm  0.500  0.500  0.000
Bi  0.000  0.500  0.000
Bi  0.500  0.500  0.500
Tm  0.500  0.000  0.500
Tm  0.000  0.500  0.500
Bi  0.500  0.000  0.000
Bi  0.000  0.000  0.500
Sc  0.000  0.000  0.000



# TmSc2Bi

A relaxed structure of TmSc2Bi (PBE, Alexandria via LeMat-Bulk).

## Properties
Space-group type: No. 123

Lattice parameters (Å, degrees): 4.654 4.673 4.673 90.00 90.00 90.00
Each line ends with the local moment (μB).
Positions (direct):
Sc  0.000  0.000  0.500  0.45
Bi  0.500  0.000  0.000  -0.01
Sc  0.000  0.500  0.000  0.45
Tm  0.500  0.500  0.500  0.43



# TmSc2Bi

A relaxed structure of TmSc2Bi (PBE, Alexandria via LeMat-Bulk).

## Properties
Space-group type: No. 63

Lattice parameters (Å, degrees): 4.431 4.421 10.960 90.00 101.66 90.00
Positions (direct):
Bi  0.837  0.750  0.675
Bi  0.163  0.250  0.325
Sc  0.445  0.750  0.890
Tm  0.690  0.750  0.380
Sc  0.057  0.750  0.113
Sc  0.555  0.250  0.110
Tm  0.310  0.250  0.620
Sc  0.943  0.250  0.887



# TmSc4Bi2

A relaxed structure of TmSc4Bi2 (PBE, Alexandria via LeMat-Bulk).

## Properties
Space-group type: No. 139

Lattice parameters (Å, degrees): 4.997 4.997 8.726 106.64 106.64 90.00
Positions (direct):
Tm  0.000  0.000  0.000
Sc  0.000  0.500  0.000
Sc  0.819  0.819  0.637
Bi  0.365  0.365  0.730
Sc  0.181  0.181  0.363
Sc  0.500  0.000  0.000
Bi  0.635  0.635  0.270



# Tm5Sc2Bi4

A relaxed structure of Tm5Sc2Bi4 (PBE, Alexandria via LeMat-Bulk).

## Properties
Space-group type: No. 12

Lattice parameters (Å, degrees): 4.236 7.519 11.640 115.39 100.48 90.00
Positions (direct):
Bi  0.029  0.754  0.057
Sc  0.574  0.531  0.148
Tm  0.139  0.320  0.277
Tm  0.500  0.000  0.000
Sc  0.426  0.469  0.852
Bi  0.720  0.669  0.440
Bi  0.280  0.331  0.560
Tm  0.861  0.680  0.723
Bi  0.971  0.246  0.943
Tm  0.823  0.105  0.646
Tm  0.177  0.895  0.354



# Tm5Sc3Bi8

A relaxed structure of Tm5Sc3Bi8 (PBE, Alexandria via LeMat-Bulk).

## Properties
Space-group type: No. 166

Lattice parameters (Å, degrees): 8.749 8.749 8.744 59.98 59.98 60.00
Positions (direct):
Bi  0.750  0.242  0.258
Sc  0.500  0.000  0.500
Tm  0.500  0.000  0.000
Bi  0.750  0.750  0.258
Bi  0.250  0.250  0.742
Bi  0.246  0.246  0.261
Tm  0.000  0.000  0.000
Bi  0.758  0.250  0.742
Tm  0.000  0.500  0.000
Tm  0.500  0.500  0.500
Sc  0.000  0.500  0.500
Bi  0.250  0.758  0.742
Bi  0.754  0.754  0.739
Sc  0.000  0.000  0.500
Bi  0.242  0.750  0.258
Tm  0.500  0.500  0.000



# TmScBi

A relaxed structure of TmScBi (PBE, Alexandria via LeMat-Bulk).

## Properties
Space-group type: No. 156

Lattice parameters (Å, degrees): 3.699 5.070 5.070 120.00 90.00 90.00
Positions (direct):
Sc  0.095  0.000  0.000
Bi  0.277  0.333  0.667
Tm  0.628  0.667  0.333



# Tm3Sc7Bi2

A relaxed structure of Tm3Sc7Bi2 (PBE, Alexandria via LeMat-Bulk).

## Properties
Space-group type: No. 166

Lattice parameters (Å, degrees): 6.290 6.290 10.329 72.27 72.27 60.00
Positions (direct):
Sc  0.415  0.415  0.252
Sc  0.585  0.083  0.748
Bi  0.667  0.667  0.000
Sc  0.415  0.917  0.252
Sc  0.917  0.415  0.252
Sc  0.083  0.585  0.748
Tm  0.142  0.142  0.575
Sc  0.500  0.500  0.500
Bi  0.333  0.333  0.000
Tm  0.000  0.000  0.000
Tm  0.858  0.858  0.425
Sc  0.585  0.585  0.748



Ordered magnetic moment results: 0.0; 1.9; 0.0; 0.0; 0.0; 0.0; 0.0; 0.0; unit μB/cell.
Ordered calculated formation energy results: -0.746; -0.289; -0.427; 0.378; -0.383; -0.730; -0.239; -0.080; unit eV/atom.